# Dy2Ho2Ga4Si

A geometry-optimized Dy2Ho2Ga4Si structure (PBE-GGA, Alexandria).

Its spin magnetization is 0.00 μB per formula unit. The value obtained for the total energy is -4.284 eV/atom. As for the crystal system: tetragonal. As for the density of states at the Fermi level: 5.15 states/eV/f.u. The mass density comes out at 7.6 g/cm3. The value obtained for the uncorrected formation energy is -28.6 kJ/mol of atoms.

The space group is I4/mmm (No. 139) and the conventional cell measures 6.909, 6.909 and 8.756 Å, with angles of 90.00, 90.00 and 90.00 degrees. The distinct sites, in fractional coordinates, are Dy at (0.000, 0.000, 0.195), Ho at (0.000, 0.500, 0.250), Ga at (0.249, 0.249, 0.500) and Si at (0.000, 0.000, 0.500).